P) # Ca2Al5Ag3

An optimized crystal structure of Ca2Al5Ag3 (GGA-PBE, the Alexandria database).

a b c (Å): 8.872 8.872 8.872
angles (deg): 97.27 95.80 140.57
Positions (direct):
Ca 0.127 0.249 0.377
Ca 0.373 0.749 0.122
Ca 0.627 0.251 0.878
Ca 0.873 0.751 0.623
Al 0.002 0.250 0.752
Al 0.123 0.638 0.761
Al 0.250 0.250 0.000
Al 0.377 0.138 0.515
Al 0.498 0.250 0.248
Al 0.502 0.750 0.752
Al 0.623 0.862 0.485
Al 0.750 0.750 0.000
Al 0.877 0.362 0.239
Al 0.998 0.750 0.248
Ag 0.123 0.859 0.982
Ag 0.250 0.750 0.500
Ag 0.377 0.359 0.736
Ag 0.623 0.641 0.264
Ag 0.750 0.250 0.500
Ag 0.877 0.141 0.018


Q) # Ca2Al5Ag3

An optimized crystal structure of Ca2Al5Ag3 (GGA-PBE, the Alexandria database).

a b c (Å): 4.230 4.230 11.887
angles (deg): 90.00 90.00 90.00
Positions (direct):
Ca 0.000 0.500 0.245
Ca 0.500 0.000 0.755
Al 0.000 0.000 0.000
Al 0.000 0.000 0.500
Al 0.000 0.500 0.862
Al 0.500 0.000 0.138
Al 0.500 0.500 0.000
Ag 0.000 0.500 0.649
Ag 0.500 0.000 0.351
Ag 0.500 0.500 0.500


Energetically preferred structure: P) | next structure: +4.6 kJ/mol of atoms


P) # CaAl2Ag4

An optimized crystal structure of CaAl2Ag4 (GGA-PBE, the Alexandria database).

a b c (Å): 8.149 8.149 5.475
angles (deg): 90.00 90.00 90.00
Positions (direct):
Ca 0.000 0.000 0.000
Ca 0.500 0.500 0.500
Al 0.000 0.500 0.250
Al 0.000 0.500 0.750
Al 0.500 0.000 0.250
Al 0.500 0.000 0.750
Ag 0.000 0.234 0.500
Ag 0.000 0.766 0.500
Ag 0.234 0.000 0.500
Ag 0.266 0.500 0.000
Ag 0.500 0.266 0.000
Ag 0.500 0.734 0.000
Ag 0.734 0.500 0.000
Ag 0.766 0.000 0.500


Q) # CaAl2Ag4

An optimized crystal structure of CaAl2Ag4 (GGA-PBE, the Alexandria database).

a b c (Å): 6.983 6.983 5.474
angles (deg): 90.00 90.00 90.00
Positions (direct):
Ca 0.000 0.000 0.000
Ca 0.500 0.500 0.500
Al 0.000 0.500 0.250
Al 0.000 0.500 0.750
Al 0.500 0.000 0.250
Al 0.500 0.000 0.750
Ag 0.199 0.199 0.500
Ag 0.199 0.801 0.500
Ag 0.301 0.301 0.000
Ag 0.301 0.699 0.000
Ag 0.699 0.301 0.000
Ag 0.699 0.699 0.000
Ag 0.801 0.199 0.500
Ag 0.801 0.801 0.500


Energetically preferred structure: Q) | next structure: +36.3 kJ/mol of atoms


P) # CaAl6Ag4

An optimized crystal structure of CaAl6Ag4 (GGA-PBE, the Alexandria database).

a b c (Å): 7.599 7.599 4.147
angles (deg): 90.00 90.00 120.00
Positions (direct):
Ca 0.000 0.000 0.000
Al 0.203 0.407 0.500
Al 0.203 0.797 0.500
Al 0.534 0.067 0.000
Al 0.534 0.466 0.000
Al 0.593 0.797 0.500
Al 0.933 0.466 0.000
Ag 0.333 0.667 0.000
Ag 0.397 0.199 0.500
Ag 0.801 0.199 0.500
Ag 0.801 0.603 0.500


Q) # CaAl6Ag4

An optimized crystal structure of CaAl6Ag4 (GGA-PBE, the Alexandria database).

a b c (Å): 6.825 6.825 6.825
angles (deg): 120.78 120.78 88.65
Positions (direct):
Ca 0.000 0.000 0.000
Al 0.000 0.500 0.500
Al 0.111 0.516 0.000
Al 0.484 0.484 0.595
Al 0.500 0.000 0.500
Al 0.516 0.111 0.000
Al 0.889 0.889 0.405
Ag 0.238 0.238 0.659
Ag 0.421 0.762 0.000
Ag 0.579 0.579 0.341
Ag 0.762 0.421 0.000


Energetically preferred structure: P) | next structure: +12.7 kJ/mol of atoms